## Zn4CoRe (GGA-PBE)

Data for a relaxed structure of Zn4CoRe.

Cell and atoms, written as POSCAR:
```
Zn4CoRe
1.0
-2.4987 -3.8666 1.5809
-1.1174 -0.4121 4.7196
-4.6139 0.5158 1.4628
Zn Co Re
4 1 1
Direct
0.8754 0.3749 0.3749
0.3749 0.3749 0.8754
0.3749 0.8754 0.3749
0.3749 0.3749 0.3749
0.7500 0.7500 0.7500
0.0000 0.0000 0.0000
```

Properties
Space-group type ... F-43m, No. 216
E_form ... 2.1 eV per formula unit
Raw total energy ... -22.6 eV for the cell shown


## ZnCoRe2 (GGA-PBE)

Data for a relaxed structure of ZnCoRe2.

Cell and atoms, written as POSCAR:
```
ZnCoRe2
1.0
-0.4167 -4.5028 1.5594
4.4713 1.6532 -0.3940
-0.1034 0.8757 2.5010
Co Re Zn
1 2 1
Direct
0.0000 0.5000 0.5000
0.0000 0.0000 0.0000
0.5000 0.5000 0.0000
0.5000 0.0000 0.5000
```

Properties
Space-group type ... Cmmm, No. 65
E_form ... 1.2 eV per formula unit
Raw total energy ... -32.1 eV for the cell shown


## ZnCoRe2 (GGA-PBE)

Data for a relaxed structure of ZnCoRe2.

Cell and atoms, written as POSCAR:
```
ZnCoRe2
1.0
-5.1490 -0.7006 4.8085
-0.2585 -6.9565 -1.2904
-1.0378 -4.2110 3.4872
Re Zn Co
4 2 2
Direct
0.5714 0.1250 0.2500
0.1786 0.6250 0.2500
0.3750 0.4286 0.7500
0.8750 0.8214 0.7500
0.0000 0.0000 0.0000
0.7500 0.2500 0.5000
0.5000 0.5000 0.0000
0.2500 0.7500 0.5000
```

Properties
Space-group type ... I-42d, No. 122
E_form ... 3.1 eV per formula unit
Raw total energy ... -60.3 eV for the cell shown


no.,total magnetic moment (μB per formula unit)
1,2.5
2,0.6
3,0.0